Tb4PmSb2 | PBE | relaxed

For the uncorrected formation energy, the calculation gives 0.23 eV/atom. The total DFT energy (no corrections) comes out at -0.3140 Ry/atom. The crystal system is tetragonal. As for the volume: 462.1 Å³ per cell. As for the total magnetization: 0.0254 μB/atom.

The space group is I4/mmm (No. 139) and the conventional cell measures 5.279, 5.279 and 16.582 Å, with angles of 90.00, 90.00 and 90.00 degrees. The distinct sites, in fractional coordinates, are Tb at (0.000, 0.000, 0.184), Tb at (0.000, 0.500, 0.000), Pm at (0.000, 0.000, 0.000) and Sb at (0.000, 0.000, 0.367).